# 1
# BaTlSnPd, relaxed, DFT PBE-GGA
# Volume, Å³ per cell: 454.93
# Calculated density, g/cm3: 8.3
# DFT total energy, eV per atom: -3.929
# Crystal system: orthorhombic
data_BaTlSnPd
_cell_length_a 8.1176
_cell_length_b 4.5809
_cell_length_c 12.2342
_cell_angle_alpha 90.00
_cell_angle_beta 90.00
_cell_angle_gamma 90.00
_space_group_name_H-M_alt 'A m m 2'
_space_group_IT_number 38
_space_group_name_Hall 'A 2 -2'
loop_
_atom_site_label
_atom_site_type_symbol
_atom_site_fract_x
_atom_site_fract_y
_atom_site_fract_z
_atom_site_occupancy
Ba1 Ba 0.0000 0.0000 0.0000 1
Ba2 Ba 0.5000 0.0000 0.1127 1
Tl1 Tl 0.3006 0.0000 0.4019 1
Sn1 Sn 0.1913 0.0000 0.7179 1
Pd1 Pd 0.0000 0.0000 0.2656 1
Pd2 Pd 0.5000 0.0000 0.8255 1

# 2
# PuThRe, relaxed, DFT PBE-GGA
# Volume, Å³ per cell: 273.63
# Offset from the most stable computed form, eV/atom: 0.000
# Calculated density, g/cm3: 16.1
# Crystal system: cubic
data_PuThRe
_cell_length_a 6.4922
_cell_length_b 6.4922
_cell_length_c 6.4922
_cell_angle_alpha 90.00
_cell_angle_beta 90.00
_cell_angle_gamma 90.00
_space_group_name_H-M_alt 'F -4 3 m'
_space_group_IT_number 216
_space_group_name_Hall 'F -4 2 3'
loop_
_atom_site_label
_atom_site_type_symbol
_atom_site_fract_x
_atom_site_fract_y
_atom_site_fract_z
_atom_site_occupancy
Pu1 Pu 0.0000 0.0000 0.0000 1
Th1 Th 0.2500 0.2500 0.2500 1
Re1 Re 0.0000 0.0000 0.5000 1

# 3
# MgCdSeO, relaxed, DFT PBE-GGA
# Volume, Å³ per cell: 167.10
# Offset from the most stable computed form, eV/atom: 0.729
# Calculated density, g/cm3: 4.6
# Crystal system: tetragonal
data_MgCdSeO
_cell_length_a 4.8975
_cell_length_b 4.8975
_cell_length_c 6.9669
_cell_angle_alpha 90.00
_cell_angle_beta 90.00
_cell_angle_gamma 90.00
_space_group_name_H-M_alt 'P 4/n m m'
_space_group_IT_number 129
loop_
_space_group_symop_operation_xyz
'x,y,z'
'-x,-y,-z'
'-y+1/2,x,z'
'y+1/2,-x,-z'
'-x+1/2,-y+1/2,z'
'x+1/2,y+1/2,-z'
'y,-x+1/2,z'
'-y,x+1/2,-z'
'x+1/2,-y,-z'
'-x+1/2,y,z'
'-y,-x,-z'
'y,x,z'
'-x,y+1/2,-z'
'x,-y+1/2,z'
'y+1/2,x+1/2,-z'
'-y+1/2,-x+1/2,z'
loop_
_atom_site_label
_atom_site_type_symbol
_atom_site_fract_x
_atom_site_fract_y
_atom_site_fract_z
_atom_site_occupancy
Mg1 Mg 0.2500 0.2500 0.1590 1
Cd1 Cd 0.2500 0.2500 0.7035 1
Se1 Se 0.2500 0.7500 0.0000 1
O1 O 0.2500 0.2500 0.4175 1